Record 1
A geometry-optimized Pa2BeCo6 structure, computed with GGA-PBE.

Symmetry   No. 164
Density   11.32 g/cm3
E above lowest polymorph   61 kJ/mol of formula units
Calculated total energy   -7.545 eV/atom

extended XYZ file:
```
9
Lattice="5.402 -0.027 -0.016 0.025 5.086 0.005 0.025 2.538 4.407" Properties=species:S:1:pos:R:3 pbc="T T T"
Pa 4.374 5.061 2.929
Pa 1.077 2.536 1.467
Be 0.000 0.000 0.000
Co 1.712 3.825 3.657
Co 1.724 6.322 3.659
Co 1.712 5.076 1.495
Co 3.740 3.772 0.740
Co 3.728 1.274 0.737
Co 3.740 2.521 2.902
```

---

Record 2
A geometry-optimized PmMgZnSi structure, computed with GGA-PBE.

Symmetry   No. 216
Density   5.25 g/cm3
Calculated total energy   -3.514 eV/atom
Uncorrected formation energy   -254 meV/atom

extended XYZ file:
```
4
Lattice="-2.255 -4.311 -0.571 -1.613 -2.458 3.918 -4.810 -0.379 0.845" Properties=species:S:1:pos:R:3 pbc="T T T"
Mg -4.339 -3.574 2.096
Zn -2.170 -1.787 1.048
Si -6.509 -5.361 3.144
Pm 0.000 0.000 0.000
```

---

Record 3
A geometry-optimized Tb2GaCo2 structure, computed with GGA-PBE.

Symmetry   No. 71
Density   9.10 g/cm3
Calculated total energy   -5.698 eV/atom

extended XYZ file:
```
5
Lattice="-2.234 2.678 2.085 -0.801 -1.546 5.092 2.803 2.355 3.943" Properties=species:S:1:pos:R:3 pbc="T T T"
Co 0.666 2.590 5.311
Co -0.897 0.898 5.809
Tb -0.362 2.699 8.031
Tb 0.130 0.789 3.089
Ga 0.000 0.000 0.000
```

---

Record 4
A geometry-optimized PaNb2VC4 structure, computed with GGA-PBE.

Symmetry   No. 63
Density   8.53 g/cm3
Calculated total energy   -9.830 eV/atom

extended XYZ file:
```
16
Lattice="-1.110 2.472 -1.783 -3.683 -4.448 -0.922 -6.171 3.351 8.489" Properties=species:S:1:pos:R:3 pbc="T T T"
Pa -5.560 1.807 5.968
Pa -5.404 -0.432 -0.183
Nb -6.480 -0.573 3.242
Nb -1.897 0.543 -1.016
Nb -4.485 1.948 2.543
Nb -9.067 0.832 6.802
V -8.108 1.532 4.225
V -2.856 -0.158 1.560
C -2.973 -1.306 0.042
C -6.363 1.796 3.502
C -7.992 2.680 5.743
C -4.602 -0.421 2.283
C -3.085 1.675 4.245
C 0.000 0.000 0.000
C -8.423 -0.363 4.744
C -2.541 1.738 1.041
```

---

- Which of these has the highest density?
  Pa2BeCo6

---

What did the first record say?
A geometry-optimized Pa2BeCo6 structure, computed with GGA-PBE.

Symmetry   No. 164
Density   11.32 g/cm3
E above lowest polymorph   61 kJ/mol of formula units
Calculated total energy   -7.545 eV/atom

extended XYZ file:
```
9
Lattice="5.402 -0.027 -0.016 0.025 5.086 0.005 0.025 2.538 4.407" Properties=species:S:1:pos:R:3 pbc="T T T"
Pa 4.374 5.061 2.929
Pa 1.077 2.536 1.467
Be 0.000 0.000 0.000
Co 1.712 3.825 3.657
Co 1.724 6.322 3.659
Co 1.712 5.076 1.495
Co 3.740 3.772 0.740
Co 3.728 1.274 0.737
Co 3.740 2.521 2.902
```